Entry 1:
# Y2AsCl, relaxed, DFT PBE
# E: -6.2661 eV per atom
data_Y2AsCl
_chemical_formula_sum 'Y2 As1 Cl1'
_space_group_name_H-M_alt 'P 1'
_space_group_IT_number 1
_space_group_name_Hall 'P 1'
_cell_length_a 7.417
_cell_length_b 7.417
_cell_length_c 7.417
_cell_angle_alpha 31.64
_cell_angle_beta 31.64
_cell_angle_gamma 31.64
loop_
_atom_site_label
_atom_site_fract_x
_atom_site_fract_y
_atom_site_fract_z
_atom_site_occupancy
Y1 0.000 0.000 0.000 1
Y2 0.190 0.190 0.190 1
As1 0.593 0.593 0.593 1
Cl1 0.764 0.764 0.764 1

Entry 2:
# CuAsSeBr2, relaxed, DFT PBE
# polymorph energy (0 for the lowest one): 0.105 eV/f.u.
data_CuAsSeBr2
_chemical_formula_sum 'Cu1 As1 Se1 Br2'
_space_group_name_H-M_alt 'P 1'
_space_group_IT_number 1
_space_group_name_Hall 'P 1'
_cell_length_a 5.317
_cell_length_b 5.317
_cell_length_c 5.016
_cell_angle_alpha 90.00
_cell_angle_beta 90.00
_cell_angle_gamma 90.00
loop_
_atom_site_label
_atom_site_fract_x
_atom_site_fract_y
_atom_site_fract_z
_atom_site_occupancy
Cu1 0.000 0.000 0.000 1
As1 0.500 0.500 0.500 1
Se1 0.500 0.500 0.000 1
Br1 0.000 0.500 0.500 1
Br2 0.500 0.000 0.500 1

Entry 3:
# RbZnHg2, relaxed, DFT PBE
# polymorph energy (0 for the lowest one): 0.000 eV/f.u.
data_RbZnHg2
_chemical_formula_sum 'Rb1 Zn1 Hg2'
_space_group_name_H-M_alt 'P 1'
_space_group_IT_number 1
_space_group_name_Hall 'P 1'
_cell_length_a 6.936
_cell_length_b 6.936
_cell_length_c 6.936
_cell_angle_alpha 41.10
_cell_angle_beta 41.10
_cell_angle_gamma 41.10
loop_
_atom_site_label
_atom_site_fract_x
_atom_site_fract_y
_atom_site_fract_z
_atom_site_occupancy
Rb1 0.000 0.000 0.000 1
Zn1 0.500 0.500 0.500 1
Hg1 0.201 0.201 0.201 1
Hg2 0.799 0.799 0.799 1

Entry 4:
# CaPrSc, relaxed, DFT PBE
# polymorph energy (0 for the lowest one): 0.159 eV/f.u.
data_CaPrSc
_chemical_formula_sum 'Ca2 Pr2 Sc2'
_space_group_name_H-M_alt 'P 1'
_space_group_IT_number 1
_space_group_name_Hall 'P 1'
_cell_length_a 6.482
_cell_length_b 6.482
_cell_length_c 9.719
_cell_angle_alpha 112.32
_cell_angle_beta 112.32
_cell_angle_gamma 32.10
loop_
_atom_site_label
_atom_site_fract_x
_atom_site_fract_y
_atom_site_fract_z
_atom_site_occupancy
Ca1 0.004 0.004 0.212 1
Ca2 0.996 0.996 0.788 1
Pr1 0.337 0.337 0.417 1
Pr2 0.663 0.663 0.583 1
Sc1 0.301 0.301 0.906 1
Sc2 0.699 0.699 0.094 1

Entry 5:
# Er11Cd9Rh4, relaxed, DFT PBE
# E: -4.2006 eV per atom
data_Er11Cd9Rh4
_chemical_formula_sum 'Er11 Cd9 Rh4'
_space_group_name_H-M_alt 'P 1'
_space_group_IT_number 1
_space_group_name_Hall 'P 1'
_cell_length_a 12.938
_cell_length_b 12.938
_cell_length_c 3.652
_cell_angle_alpha 90.00
_cell_angle_beta 90.00
_cell_angle_gamma 112.59
loop_
_atom_site_label
_atom_site_fract_x
_atom_site_fract_y
_atom_site_fract_z
_atom_site_occupancy
Er1 0.000 0.000 0.000 1
Er2 0.084 0.417 0.000 1
Er3 0.162 0.838 0.000 1
Er4 0.301 0.301 0.000 1
Er5 0.367 0.633 0.000 1
Er6 0.417 0.084 0.000 1
Er7 0.583 0.916 0.000 1
Er8 0.633 0.367 0.000 1
Er9 0.699 0.699 0.000 1
Er10 0.838 0.162 0.000 1
Er11 0.916 0.583 0.000 1
Cd1 0.067 0.214 0.500 1
Cd2 0.150 0.634 0.500 1
Cd3 0.214 0.067 0.500 1
Cd4 0.366 0.850 0.500 1
Cd5 0.500 0.500 0.500 1
Cd6 0.634 0.150 0.500 1
Cd7 0.786 0.933 0.500 1
Cd8 0.850 0.366 0.500 1
Cd9 0.933 0.786 0.500 1
Rh1 0.258 0.453 0.500 1
Rh2 0.453 0.258 0.500 1
Rh3 0.547 0.742 0.500 1
Rh4 0.742 0.547 0.500 1

Entry 6:
# InOsPd2W, relaxed, DFT PBE
# E: -5.5593 eV per atom
data_InOsPd2W
_chemical_formula_sum 'In1 Os1 Pd2 W1'
_space_group_name_H-M_alt 'P 1'
_space_group_IT_number 1
_space_group_name_Hall 'P 1'
_cell_length_a 4.803
_cell_length_b 4.803
_cell_length_c 5.004
_cell_angle_alpha 90.00
_cell_angle_beta 90.00
_cell_angle_gamma 90.00
loop_
_atom_site_label
_atom_site_fract_x
_atom_site_fract_y
_atom_site_fract_z
_atom_site_occupancy
In1 0.000 0.000 0.000 1
Os1 0.000 0.000 0.500 1
Pd1 0.000 0.500 0.500 1
Pd2 0.500 0.000 0.500 1
W1 0.500 0.500 0.000 1

Entry 7:
# Y2AuBr4, relaxed, DFT PBE
# E: -3.8134 eV per atom
data_Y2AuBr4
_chemical_formula_sum 'Y2 Au1 Br4'
_space_group_name_H-M_alt 'P 1'
_space_group_IT_number 1
_space_group_name_Hall 'P 1'
_cell_length_a 8.547
_cell_length_b 8.547
_cell_length_c 8.547
_cell_angle_alpha 141.65
_cell_angle_beta 141.65
_cell_angle_gamma 55.36
loop_
_atom_site_label
_atom_site_fract_x
_atom_site_fract_y
_atom_site_fract_z
_atom_site_occupancy
Y1 0.103 0.103 0.000 1
Y2 0.897 0.897 0.000 1
Au1 0.500 0.500 0.000 1
Br1 0.000 0.500 0.500 1
Br2 0.284 0.284 0.000 1
Br3 0.500 0.000 0.500 1
Br4 0.716 0.716 0.000 1

Entry 8:
# Ac2NdC2N6, relaxed, DFT PBE
# E: -8.1370 eV per atom
data_Ac2NdC2N6
_chemical_formula_sum 'Ac2 Nd1 C2 N6'
_space_group_name_H-M_alt 'P 1'
_space_group_IT_number 1
_space_group_name_Hall 'P 1'
_cell_length_a 5.606
_cell_length_b 5.606
_cell_length_c 6.823
_cell_angle_alpha 116.94
_cell_angle_beta 116.94
_cell_angle_gamma 58.27
loop_
_atom_site_label
_atom_site_fract_x
_atom_site_fract_y
_atom_site_fract_z
_atom_site_occupancy
Ac1 0.209 0.209 0.191 1
Ac2 0.791 0.791 0.809 1
Nd1 0.000 0.000 0.500 1
C1 0.449 0.449 0.754 1
C2 0.551 0.551 0.246 1
N1 0.252 0.685 0.203 1
N2 0.287 0.287 0.661 1
N3 0.315 0.748 0.797 1
N4 0.685 0.252 0.203 1
N5 0.713 0.713 0.339 1
N6 0.748 0.315 0.797 1

Entry 9:
# TlOs2, relaxed, DFT PBE
# polymorph energy (0 for the lowest one): 1.515 eV/f.u.
data_TlOs2
_chemical_formula_sum 'Tl2 Os4'
_space_group_name_H-M_alt 'P 1'
_space_group_IT_number 1
_space_group_name_Hall 'P 1'
_cell_length_a 7.393
_cell_length_b 7.393
_cell_length_c 4.778
_cell_angle_alpha 90.00
_cell_angle_beta 90.00
_cell_angle_gamma 157.16
loop_
_atom_site_label
_atom_site_fract_x
_atom_site_fract_y
_atom_site_fract_z
_atom_site_occupancy
Tl1 0.113 0.887 0.750 1
Tl2 0.887 0.113 0.250 1
Os1 0.209 0.791 0.250 1
Os2 0.444 0.556 0.750 1
Os3 0.556 0.444 0.250 1
Os4 0.791 0.209 0.750 1

Entry 10:
# LiNd2Ni3Sn4, relaxed, DFT PBE
# E: -5.0146 eV per atom
data_LiNd2Ni3Sn4
_chemical_formula_sum 'Li1 Nd2 Ni3 Sn4'
_space_group_name_H-M_alt 'P 1'
_space_group_IT_number 1
_space_group_name_Hall 'P 1'
_cell_length_a 4.467
_cell_length_b 4.467
_cell_length_c 10.337
_cell_angle_alpha 90.00
_cell_angle_beta 90.00
_cell_angle_gamma 90.00
loop_
_atom_site_label
_atom_site_fract_x
_atom_site_fract_y
_atom_site_fract_z
_atom_site_occupancy
Li1 0.000 0.000 0.000 1
Nd1 0.000 0.500 0.755 1
Nd2 0.500 0.000 0.245 1
Ni1 0.000 0.500 0.375 1
Ni2 0.500 0.000 0.625 1
Ni3 0.500 0.500 0.000 1
Sn1 0.000 0.000 0.500 1
Sn2 0.000 0.500 0.131 1
Sn3 0.500 0.000 0.869 1
Sn4 0.500 0.500 0.500 1

Entry 11:
# LiP2Pb, relaxed, DFT PBE
# E: -3.9853 eV per atom
data_LiP2Pb
_chemical_formula_sum 'Li1 P2 Pb1'
_space_group_name_H-M_alt 'P 1'
_space_group_IT_number 1
_space_group_name_Hall 'P 1'
_cell_length_a 3.856
_cell_length_b 4.676
_cell_length_c 4.688
_cell_angle_alpha 69.82
_cell_angle_beta 89.78
_cell_angle_gamma 89.84
loop_
_atom_site_label
_atom_site_fract_x
_atom_site_fract_y
_atom_site_fract_z
_atom_site_occupancy
Li1 0.000 0.000 0.000 1
P1 0.500 0.000 0.500 1
P2 0.500 0.500 0.000 1
Pb1 0.000 0.500 0.500 1

Entry 12:
# CaGa2Co2, relaxed, DFT PBE
# E: -4.6053 eV per atom
data_CaGa2Co2
_chemical_formula_sum 'Ca2 Ga4 Co4'
_space_group_name_H-M_alt 'P 1'
_space_group_IT_number 1
_space_group_name_Hall 'P 1'
_cell_length_a 7.318
_cell_length_b 7.318
_cell_length_c 2.785
_cell_angle_alpha 90.00
_cell_angle_beta 90.00
_cell_angle_gamma 90.00
loop_
_atom_site_label
_atom_site_fract_x
_atom_site_fract_y
_atom_site_fract_z
_atom_site_occupancy
Ca1 0.000 0.000 0.000 1
Ca2 0.500 0.500 0.000 1
Ga1 0.129 0.371 0.000 1
Ga2 0.371 0.871 0.000 1
Ga3 0.629 0.129 0.000 1
Ga4 0.871 0.629 0.000 1
Co1 0.164 0.664 0.500 1
Co2 0.336 0.164 0.500 1
Co3 0.664 0.836 0.500 1
Co4 0.836 0.336 0.500 1

Entry 13:
# AlCo3, relaxed, DFT PBE
# E: -6.3567 eV per atom
data_AlCo3
_chemical_formula_sum 'Al1 Co3'
_space_group_name_H-M_alt 'P 1'
_space_group_IT_number 1
_space_group_name_Hall 'P 1'
_cell_length_a 2.602
_cell_length_b 2.602
_cell_length_c 7.910
_cell_angle_alpha 90.00
_cell_angle_beta 90.00
_cell_angle_gamma 120.00
loop_
_atom_site_label
_atom_site_fract_x
_atom_site_fract_y
_atom_site_fract_z
_atom_site_occupancy
Al1 0.000 0.000 0.000 1
Co1 0.000 0.000 0.500 1
Co2 0.667 0.333 0.254 1
Co3 0.667 0.333 0.746 1

Entry 14:
# MnCoCu2, relaxed, DFT PBE
# E: -5.9597 eV per atom
data_MnCoCu2
_chemical_formula_sum 'Mn1 Co1 Cu2'
_space_group_name_H-M_alt 'P 1'
_space_group_IT_number 1
_space_group_name_Hall 'P 1'
_cell_length_a 2.605
_cell_length_b 3.675
_cell_length_c 5.080
_cell_angle_alpha 90.00
_cell_angle_beta 90.00
_cell_angle_gamma 90.00
loop_
_atom_site_label
_atom_site_fract_x
_atom_site_fract_y
_atom_site_fract_z
_atom_site_occupancy
Mn1 0.000 0.000 0.000 1
Co1 0.000 0.000 0.500 1
Cu1 0.500 0.500 0.257 1
Cu2 0.500 0.500 0.743 1

Entry 15:
# Co2SbPt, relaxed, DFT PBE
# E: -5.7797 eV per atom
data_Co2SbPt
_chemical_formula_sum 'Co2 Sb1 Pt1'
_space_group_name_H-M_alt 'P 1'
_space_group_IT_number 1
_space_group_name_Hall 'P 1'
_cell_length_a 8.180
_cell_length_b 8.180
_cell_length_c 8.180
_cell_angle_alpha 20.87
_cell_angle_beta 20.87
_cell_angle_gamma 20.87
loop_
_atom_site_label
_atom_site_fract_x
_atom_site_fract_y
_atom_site_fract_z
_atom_site_occupancy
Co1 0.249 0.249 0.249 1
Co2 0.751 0.751 0.751 1
Sb1 0.500 0.500 0.500 1
Pt1 0.000 0.000 0.000 1

Entry 16:
# HoErSi, relaxed, DFT PBE
# polymorph energy (0 for the lowest one): 0.332 eV/f.u.
data_HoErSi
_chemical_formula_sum 'Ho2 Er2 Si2'
_space_group_name_H-M_alt 'P 1'
_space_group_IT_number 1
_space_group_name_Hall 'P 1'
_cell_length_a 8.319
_cell_length_b 8.319
_cell_length_c 5.219
_cell_angle_alpha 95.83
_cell_angle_beta 95.83
_cell_angle_gamma 23.84
loop_
_atom_site_label
_atom_site_fract_x
_atom_site_fract_y
_atom_site_fract_z
_atom_site_occupancy
Ho1 0.080 0.080 0.207 1
Ho2 0.920 0.920 0.793 1
Er1 0.211 0.211 0.738 1
Er2 0.789 0.789 0.262 1
Si1 0.439 0.439 0.320 1
Si2 0.561 0.561 0.680 1

Entry 17:
# MnRuBr6, relaxed, DFT PBE
# E: -3.9484 eV per atom
data_MnRuBr6
_chemical_formula_sum 'Mn1 Ru1 Br6'
_space_group_name_H-M_alt 'P 1'
_space_group_IT_number 1
_space_group_name_Hall 'P 1'
_cell_length_a 7.096
_cell_length_b 7.096
_cell_length_c 6.497
_cell_angle_alpha 99.56
_cell_angle_beta 99.56
_cell_angle_gamma 125.49
loop_
_atom_site_label
_atom_site_fract_x
_atom_site_fract_y
_atom_site_fract_z
_atom_site_occupancy
Mn1 0.000 0.000 0.000 1
Ru1 0.500 0.500 0.500 1
Br1 0.110 0.387 0.249 1
Br2 0.270 0.270 0.731 1
Br3 0.387 0.110 0.249 1
Br4 0.613 0.890 0.751 1
Br5 0.730 0.730 0.269 1
Br6 0.890 0.613 0.751 1

Entry 18:
# CaMg2Mn, relaxed, DFT PBE
# E: -3.1074 eV per atom
data_CaMg2Mn
_chemical_formula_sum 'Ca2 Mg4 Mn2'
_space_group_name_H-M_alt 'P 1'
_space_group_IT_number 1
_space_group_name_Hall 'P 1'
_cell_length_a 11.340
_cell_length_b 11.340
_cell_length_c 11.340
_cell_angle_alpha 157.69
_cell_angle_beta 157.69
_cell_angle_gamma 31.76
loop_
_atom_site_label
_atom_site_fract_x
_atom_site_fract_y
_atom_site_fract_z
_atom_site_occupancy
Ca1 0.000 0.000 0.000 1
Ca2 0.750 0.250 0.500 1
Mg1 0.152 0.625 0.027 1
Mg2 0.375 0.402 0.527 1
Mg3 0.598 0.125 0.973 1
Mg4 0.875 0.848 0.473 1
Mn1 0.250 0.750 0.500 1
Mn2 0.500 0.500 0.000 1

Entry 19:
# Na10B19C, relaxed, DFT PBE
# polymorph energy (0 for the lowest one): 0.095 eV/f.u.
data_Na10B19C
_chemical_formula_sum 'Na10 B19 C1'
_space_group_name_H-M_alt 'P 1'
_space_group_IT_number 1
_space_group_name_Hall 'P 1'
_cell_length_a 8.658
_cell_length_b 8.017
_cell_length_c 8.017
_cell_angle_alpha 142.45
_cell_angle_beta 90.00
_cell_angle_gamma 90.00
loop_
_atom_site_label
_atom_site_fract_x
_atom_site_fract_y
_atom_site_fract_z
_atom_site_occupancy
Na1 0.249 0.000 0.000 1
Na2 0.249 0.401 0.601 1
Na3 0.249 0.601 0.401 1
Na4 0.250 0.204 0.804 1
Na5 0.250 0.804 0.204 1
Na6 0.750 0.204 0.804 1
Na7 0.750 0.804 0.204 1
Na8 0.751 0.000 0.000 1
Na9 0.751 0.401 0.601 1
Na10 0.751 0.601 0.401 1
B1 0.000 0.070 0.274 1
B2 0.000 0.137 0.535 1
B3 0.000 0.274 0.070 1
B4 0.000 0.323 0.323 1
B5 0.000 0.479 0.881 1
B6 0.000 0.535 0.137 1
B7 0.000 0.667 0.667 1
B8 0.000 0.730 0.926 1
B9 0.000 0.881 0.479 1
B10 0.000 0.926 0.730 1
B11 0.500 0.065 0.267 1
B12 0.500 0.136 0.531 1
B13 0.500 0.267 0.065 1
B14 0.500 0.344 0.344 1
B15 0.500 0.481 0.881 1
B16 0.500 0.531 0.136 1
B17 0.500 0.730 0.912 1
B18 0.500 0.881 0.481 1
B19 0.500 0.912 0.730 1
C1 0.500 0.661 0.661 1

Entry 20:
# HfPSe3, relaxed, DFT PBE
# polymorph energy (0 for the lowest one): 0.000 eV/f.u.
data_HfPSe3
_chemical_formula_sum 'Hf1 P1 Se3'
_space_group_name_H-M_alt 'P 1'
_space_group_IT_number 1
_space_group_name_Hall 'P 1'
_cell_length_a 5.169
_cell_length_b 5.169
_cell_length_c 5.169
_cell_angle_alpha 90.00
_cell_angle_beta 90.00
_cell_angle_gamma 90.00
loop_
_atom_site_label
_atom_site_fract_x
_atom_site_fract_y
_atom_site_fract_z
_atom_site_occupancy
Hf1 0.000 0.000 0.000 1
P1 0.500 0.500 0.500 1
Se1 0.000 0.000 0.500 1
Se2 0.000 0.500 0.000 1
Se3 0.500 0.000 0.000 1

Entry 21:
# Pa3GaTc4, relaxed, DFT PBE
# E: -9.1471 eV per atom
data_Pa3GaTc4
_chemical_formula_sum 'Pa3 Ga1 Tc4'
_space_group_name_H-M_alt 'P 1'
_space_group_IT_number 1
_space_group_name_Hall 'P 1'
_cell_length_a 6.085
_cell_length_b 6.085
_cell_length_c 6.085
_cell_angle_alpha 124.77
_cell_angle_beta 110.57
_cell_angle_gamma 94.49
loop_
_atom_site_label
_atom_site_fract_x
_atom_site_fract_y
_atom_site_fract_z
_atom_site_occupancy
Pa1 0.000 0.000 0.000 1
Pa2 0.160 0.382 0.778 1
Pa3 0.604 0.382 0.222 1
Ga1 0.456 0.956 0.500 1
Tc1 0.005 0.684 0.321 1
Tc2 0.363 0.684 0.679 1
Tc3 0.711 0.461 0.750 1
Tc4 0.711 0.961 0.250 1

Entry 22:
# MgAg4Au5, relaxed, DFT PBE
# polymorph energy (0 for the lowest one): 0.000 eV/f.u.
data_MgAg4Au5
_chemical_formula_sum 'Mg1 Ag4 Au5'
_space_group_name_H-M_alt 'P 1'
_space_group_IT_number 1
_space_group_name_Hall 'P 1'
_cell_length_a 3.456
_cell_length_b 3.456
_cell_length_c 15.122
_cell_angle_alpha 90.00
_cell_angle_beta 90.00
_cell_angle_gamma 90.00
loop_
_atom_site_label
_atom_site_fract_x
_atom_site_fract_y
_atom_site_fract_z
_atom_site_occupancy
Mg1 0.000 0.000 0.000 1
Ag1 0.000 0.000 0.201 1
Ag2 0.000 0.000 0.400 1
Ag3 0.000 0.000 0.600 1
Ag4 0.000 0.000 0.799 1
Au1 0.500 0.500 0.097 1
Au2 0.500 0.500 0.300 1
Au3 0.500 0.500 0.500 1
Au4 0.500 0.500 0.700 1
Au5 0.500 0.500 0.903 1

Entry 23:
# InAsP2, relaxed, DFT PBE
# polymorph energy (0 for the lowest one): 0.059 eV/f.u.
data_InAsP2
_chemical_formula_sum 'In1 As1 P2'
_space_group_name_H-M_alt 'P 1'
_space_group_IT_number 1
_space_group_name_Hall 'P 1'
_cell_length_a 3.747
_cell_length_b 3.747
_cell_length_c 5.852
_cell_angle_alpha 90.00
_cell_angle_beta 90.00
_cell_angle_gamma 90.00
loop_
_atom_site_label
_atom_site_fract_x
_atom_site_fract_y
_atom_site_fract_z
_atom_site_occupancy
In1 0.000 0.000 0.000 1
As1 0.500 0.500 0.496 1
P1 0.000 0.000 0.549 1
P2 0.500 0.500 0.097 1